CeNdGa2Pt2 after structural relaxation. Source: Alexandria, functional PBE-GGA.

a = 4.514 Å, b = 4.514 Å, c = 7.218 Å
α = 90.00°, β = 90.00°, γ = 120.00°
Fractional coordinates of all 6 atoms:
Ce 0.000 0.000 0.000
Nd 0.000 0.000 0.500
Ga 0.333 0.667 0.244
Ga 0.667 0.333 0.756
Pt 0.333 0.667 0.759
Pt 0.667 0.333 0.241

Results
E_tot: -5.80 eV/atom
E_form: -6.0 eV per formula unit


TbAg2Au after structural relaxation. Source: Alexandria, functional PBE-GGA.

a = 5.470 Å, b = 5.528 Å, c = 5.528 Å
α = 82.93°, β = 90.00°, γ = 90.00°
Fractional coordinates of all 8 atoms:
Tb 0.250 0.216 0.784
Tb 0.750 0.784 0.216
Ag 0.000 0.721 0.721
Ag 0.250 0.511 0.232
Ag 0.500 0.721 0.721
Ag 0.750 0.232 0.511
Au 0.250 0.004 0.306
Au 0.750 0.306 0.004

Results
E_tot: -3.83 eV/atom
E_form: -1.7 eV per formula unit
E above lowest polymorph: 0.0 meV/atom


CeDy2YS6 after structural relaxation. Source: Alexandria, functional PBE-GGA.

a = 7.396 Å, b = 7.396 Å, c = 7.396 Å
α = 56.43°, β = 56.43°, γ = 56.43°
Fractional coordinates of all 10 atoms:
Ce 0.000 0.000 0.000
Dy 0.204 0.204 0.204
Dy 0.707 0.707 0.707
Y 0.505 0.505 0.505
S 0.103 0.411 0.805
S 0.322 0.910 0.587
S 0.411 0.805 0.103
S 0.587 0.322 0.910
S 0.805 0.103 0.411
S 0.910 0.587 0.322

Results
E_tot: -6.66 eV/atom
Uncorrected formation energy: -2.024 eV/atom


Zr2GaTe after structural relaxation. Source: Alexandria, functional PBE-GGA.

a = 7.147 Å, b = 7.147 Å, c = 7.147 Å
α = 32.28°, β = 32.28°, γ = 32.28°
Fractional coordinates of all 4 atoms:
Zr 0.238 0.238 0.238
Zr 0.762 0.762 0.762
Ga 0.500 0.500 0.500
Te 0.000 0.000 0.000

Results
E_tot: -6.40 eV/atom
Uncorrected formation energy: -0.586 eV/atom
E above lowest polymorph: 0.0 meV/atom


La2TeW after structural relaxation. Source: Alexandria, functional PBE-GGA.

a = 3.568 Å, b = 3.568 Å, c = 8.937 Å
α = 90.00°, β = 90.00°, γ = 90.00°
Fractional coordinates of all 4 atoms:
La 0.000 0.000 0.000
La 0.500 0.500 0.380
Te 0.000 0.000 0.628
W 0.500 0.500 0.771

Results
E_tot: -6.36 eV/atom
Uncorrected formation energy: 0.130 eV/atom


TbMg8In6 after structural relaxation. Source: Alexandria, functional PBE-GGA.

a = 7.897 Å, b = 7.897 Å, c = 7.897 Å
α = 66.57°, β = 66.57°, γ = 66.57°
Fractional coordinates of all 15 atoms:
Tb 0.000 0.000 0.000
Mg 0.113 0.445 0.780
Mg 0.220 0.887 0.555
Mg 0.335 0.335 0.335
Mg 0.445 0.780 0.113
Mg 0.555 0.220 0.887
Mg 0.665 0.665 0.665
Mg 0.780 0.113 0.445
Mg 0.887 0.555 0.220
In 0.058 0.719 0.401
In 0.281 0.599 0.942
In 0.401 0.058 0.719
In 0.599 0.942 0.281
In 0.719 0.401 0.058
In 0.942 0.281 0.599

Results
E_tot: -2.28 eV/atom
E_form: -0.3 eV per formula unit


Nb2Tl2CuS6 after structural relaxation. Source: Alexandria, functional PBE-GGA.

a = 6.379 Å, b = 6.379 Å, c = 7.906 Å
α = 97.87°, β = 97.87°, γ = 123.63°
Fractional coordinates of all 11 atoms:
Nb 0.180 0.820 0.000
Nb 0.820 0.180 0.000
Tl 0.348 0.652 0.500
Tl 0.652 0.348 0.500
Cu 0.500 0.500 0.000
S 0.081 0.431 0.804
S 0.236 0.236 0.162
S 0.431 0.081 0.804
S 0.569 0.919 0.196
S 0.764 0.764 0.838
S 0.919 0.569 0.196

Results
E_tot: -5.50 eV/atom
Uncorrected formation energy: -0.612 eV/atom


SmTm3Th4 after structural relaxation. Source: Alexandria, functional PBE-GGA.

a = 8.857 Å, b = 8.857 Å, c = 8.857 Å
α = 157.72°, β = 100.14°, γ = 84.18°
Fractional coordinates of all 8 atoms:
Sm 0.000 0.000 0.000
Tm 0.236 0.736 0.500
Tm 0.500 0.500 0.000
Tm 0.764 0.264 0.500
Th 0.121 0.869 0.252
Th 0.383 0.131 0.252
Th 0.617 0.869 0.748
Th 0.879 0.131 0.748

Results
E_tot: -5.83 eV/atom
E_form: 1.2 eV per formula unit


Sr3CdSi after structural relaxation. Source: Alexandria, functional PBE-GGA.

a = 6.067 Å, b = 6.067 Å, c = 6.067 Å
α = 90.00°, β = 90.00°, γ = 90.00°
Fractional coordinates of all 5 atoms:
Sr 0.000 0.000 0.500
Sr 0.000 0.500 0.000
Sr 0.500 0.000 0.000
Cd 0.500 0.500 0.500
Si 0.000 0.000 0.000

Results
E_tot: -2.37 eV/atom
Uncorrected formation energy: -0.098 eV/atom
E above lowest polymorph: 0.0 meV/atom


RbHgOsRh2 after structural relaxation. Source: Alexandria, functional PBE-GGA.

a = 5.173 Å, b = 5.173 Å, c = 5.117 Å
α = 90.00°, β = 90.00°, γ = 90.00°
Fractional coordinates of all 5 atoms:
Rb 0.000 0.000 0.000
Hg 0.500 0.500 0.500
Os 0.500 0.500 0.000
Rh 0.000 0.500 0.500
Rh 0.500 0.000 0.500

Results
E_tot: -3.60 eV/atom
E_form: 9.2 eV per formula unit


Ga5Sn12Ge3 after structural relaxation. Source: Alexandria, functional PBE-GGA.

a = 14.409 Å, b = 14.409 Å, c = 14.409 Å
α = 109.47°, β = 109.47°, γ = 109.47°
Fractional coordinates of all 80 atoms:
Ga 0.000 0.000 0.000
Ga 0.000 0.000 0.500
Ga 0.000 0.500 0.000
Ga 0.000 0.500 0.500
Ga 0.125 0.750 0.875
Ga 0.125 0.875 0.250
Ga 0.250 0.125 0.875
Ga 0.250 0.625 0.375
Ga 0.375 0.250 0.625
Ga 0.375 0.625 0.750
Ga 0.500 0.000 0.000
Ga 0.500 0.000 0.500
Ga 0.500 0.500 0.000
Ga 0.500 0.500 0.500
Ga 0.625 0.375 0.250
Ga 0.625 0.750 0.375
Ga 0.750 0.375 0.625
Ga 0.750 0.875 0.125
Ga 0.875 0.125 0.750
Ga 0.875 0.250 0.125
Sn 0.060 0.229 0.135
Sn 0.060 0.332 0.926
Sn 0.074 0.635 0.406
Sn 0.074 0.940 0.668
Sn 0.094 0.729 0.668
Sn 0.094 0.865 0.426
Sn 0.135 0.060 0.229
Sn 0.135 0.574 0.906
Sn 0.168 0.229 0.594
Sn 0.168 0.440 0.574
Sn 0.229 0.135 0.060
Sn 0.229 0.594 0.168
Sn 0.271 0.332 0.906
Sn 0.271 0.440 0.365
Sn 0.332 0.906 0.271
Sn 0.332 0.926 0.060
Sn 0.365 0.271 0.440
Sn 0.365 0.594 0.926
Sn 0.406 0.074 0.635
Sn 0.406 0.832 0.771
Sn 0.426 0.094 0.865
Sn 0.426 0.832 0.560
Sn 0.440 0.365 0.271
Sn 0.440 0.574 0.168
Sn 0.560 0.426 0.832
Sn 0.560 0.635 0.729
Sn 0.574 0.168 0.440
Sn 0.574 0.906 0.135
Sn 0.594 0.168 0.229
Sn 0.594 0.926 0.365
Sn 0.635 0.406 0.074
Sn 0.635 0.729 0.560
Sn 0.668 0.074 0.940
Sn 0.668 0.094 0.729
Sn 0.729 0.560 0.635
Sn 0.729 0.668 0.094
Sn 0.771 0.406 0.832
Sn 0.771 0.865 0.940
Sn 0.832 0.560 0.426
Sn 0.832 0.771 0.406
Sn 0.865 0.426 0.094
Sn 0.865 0.940 0.771
Sn 0.906 0.135 0.574
Sn 0.906 0.271 0.332
Sn 0.926 0.060 0.332
Sn 0.926 0.365 0.594
Sn 0.940 0.668 0.074
Sn 0.940 0.771 0.865
Ge 0.125 0.250 0.375
Ge 0.125 0.375 0.750
Ge 0.250 0.375 0.125
Ge 0.250 0.875 0.625
Ge 0.375 0.125 0.250
Ge 0.375 0.750 0.125
Ge 0.625 0.250 0.875
Ge 0.625 0.875 0.750
Ge 0.750 0.125 0.375
Ge 0.750 0.625 0.875
Ge 0.875 0.625 0.250
Ge 0.875 0.750 0.625

Results
E_tot: -3.65 eV/atom
E_form: 4.1 eV per formula unit


ZnTe after structural relaxation. Source: Alexandria, functional PBE-GGA.

a = 7.419 Å, b = 7.419 Å, c = 7.133 Å
α = 114.71°, β = 114.71°, γ = 29.96°
Fractional coordinates of all 6 atoms:
Zn 0.000 0.000 0.000
Zn 0.562 0.562 0.426
Zn 0.857 0.857 0.378
Te 0.172 0.172 0.355
Te 0.369 0.369 0.087
Te 0.482 0.482 0.700

Results
E_tot: -2.34 eV/atom
Uncorrected formation energy: -0.133 eV/atom


Sequential M_tot output: 0.478, 0.000, 1.010, 0.000, 0.000, 0.000, 0.321, 0.000, 0.000, 4.401, 0.000, 0.000 μB per cell